KMnC2O6 | Alexandria | PBE+U | optimized geometry; calculated density = 2.7 Mg/m³; spin magnetization = 4.000 μB per formula unit; E = -7.224 eV/atom
1.0
2.4825 1.4332 6.1978
-2.4825 1.4332 6.1978
0.0000 -2.8665 6.1978
K Mn C O
1 1 2 6
direct
0.0000 0.0000 0.0000 K
0.5000 0.5000 0.5000 Mn
0.2302 0.2302 0.2302 C
0.7698 0.7698 0.7698 C
0.0466 0.5302 0.7285 O
0.2715 0.9534 0.4698 O
0.4698 0.2715 0.9534 O
0.5302 0.7285 0.0466 O
0.7285 0.0466 0.5302 O
0.9534 0.4698 0.2715 O